1.
The following is a PBE calculation of a geometry-optimized KTl6Se8 structure, from Alexandria.

The structure in CIF format:
```
data_KTl6Se8
_chemical_formula_sum 'K4 Tl24 Se32'
_cell_length_a 13.681
_cell_length_b 13.681
_cell_length_c 13.681
_cell_angle_alpha 90.00
_cell_angle_beta 90.00
_cell_angle_gamma 90.00
_symmetry_space_group_name_H-M 'F m -3 m'
_symmetry_Int_Tables_number 225
_symmetry_space_group_name_Hall '-F 4 2 3'
loop_
_atom_site_label
_atom_site_fract_x
_atom_site_fract_y
_atom_site_fract_z
K1 0.000 0.000 0.000
Tl1 0.000 0.250 0.250
Se1 0.140 0.140 0.140
```

Results
Uncorrected formation energy   -0.05 eV/atom
DFT total energy   -2.932 eV per atom
ρ   4921 kg/m³



2.
The following is a PBE calculation of a geometry-optimized SmAl4Cu2Ag structure, from Alexandria.

The structure in CIF format:
```
data_SmAl4Cu2Ag
_chemical_formula_sum 'Sm3 Al12 Cu6 Ag3'
_cell_length_a 4.2377
_cell_length_b 4.2377
_cell_length_c 27.4387
_cell_angle_alpha 90.00
_cell_angle_beta 90.00
_cell_angle_gamma 120.00
_symmetry_space_group_name_H-M 'R -3 m'
_symmetry_Int_Tables_number 166
_symmetry_space_group_name_Hall '-R 3 2"'
loop_
_atom_site_label
_atom_site_fract_x
_atom_site_fract_y
_atom_site_fract_z
Sm1 0.0000 0.0000 0.0000
Al1 0.0000 0.0000 0.1211
Al2 0.0000 0.0000 0.4024
Cu1 0.0000 0.0000 0.2414
Ag1 0.0000 0.0000 0.5000
```

Results
DFT total energy   -4.078 eV per atom
ρ   5758 kg/m³



3.
The following is a PBE calculation of a geometry-optimized TaFe2Ni structure, from Alexandria.

The structure in CIF format:
```
data_TaFe2Ni
_chemical_formula_sum 'Ta4 Fe8 Ni4'
_cell_length_a 5.916
_cell_length_b 5.916
_cell_length_c 5.916
_cell_angle_alpha 90.00
_cell_angle_beta 90.00
_cell_angle_gamma 90.00
_symmetry_space_group_name_H-M 'F -4 3 m'
_symmetry_Int_Tables_number 216
_symmetry_space_group_name_Hall 'F -4 2 3'
loop_
_atom_site_label
_atom_site_fract_x
_atom_site_fract_y
_atom_site_fract_z
Ta1 0.000 0.000 0.000
Fe1 0.000 0.000 0.500
Fe2 0.250 0.250 0.250
Ni1 0.250 0.250 0.750
```

Results
DFT total energy   -8.687 eV per atom
ρ   11273 kg/m³



4.
The following is a PBE calculation of a geometry-optimized TbPr3Sc structure, from Alexandria.

The structure in CIF format:
```
data_TbPr3Sc
_chemical_formula_sum 'Tb8 Pr24 Sc8'
_cell_length_a 11.729
_cell_length_b 11.910
_cell_length_c 9.627
_cell_angle_alpha 90.00
_cell_angle_beta 90.00
_cell_angle_gamma 90.00
_symmetry_space_group_name_H-M 'C m c e'
_symmetry_Int_Tables_number 64
_symmetry_space_group_name_Hall '-C 2ac 2'
loop_
_atom_site_label
_atom_site_fract_x
_atom_site_fract_y
_atom_site_fract_z
Tb1 0.000 0.136 0.066
Pr1 0.000 0.092 0.695
Pr2 0.176 0.139 0.406
Sc1 0.250 0.113 0.750
```

Results
DFT total energy   -4.872 eV per atom
ρ   6190 kg/m³



5.
The following is a PBE calculation of a geometry-optimized LiGd2Tm structure, from Alexandria.

The structure in CIF format:
```
data_LiGd2Tm
_chemical_formula_sum 'Li3 Gd6 Tm3'
_cell_length_a 3.4587
_cell_length_b 3.4587
_cell_length_c 36.2474
_cell_angle_alpha 90.00
_cell_angle_beta 90.00
_cell_angle_gamma 120.00
_symmetry_space_group_name_H-M 'R -3 m'
_symmetry_Int_Tables_number 166
_symmetry_space_group_name_Hall '-R 3 2"'
loop_
_atom_site_label
_atom_site_fract_x
_atom_site_fract_y
_atom_site_fract_z
Li1 0.0000 0.0000 0.0000
Gd1 0.0000 0.0000 0.0890
Tm1 0.0000 0.0000 0.5000
```

Results
DFT total energy   -8.471 eV per atom
ρ   6505 kg/m³



6.
The following is a PBE calculation of a geometry-optimized Ga2AgIr structure, from Alexandria.

The structure in CIF format:
```
data_Ga2AgIr
_chemical_formula_sum 'Ga6 Ag3 Ir3'
_cell_length_a 4.0965
_cell_length_b 4.0965
_cell_length_c 14.6727
_cell_angle_alpha 90.00
_cell_angle_beta 90.00
_cell_angle_gamma 120.00
_symmetry_space_group_name_H-M 'R 3 m'
_symmetry_Int_Tables_number 160
_symmetry_space_group_name_Hall 'R 3 -2"'
loop_
_atom_site_label
_atom_site_fract_x
_atom_site_fract_y
_atom_site_fract_z
Ga1 0.0000 0.0000 0.0000
Ga2 0.0000 0.0000 0.2053
Ag1 0.0000 0.0000 0.4233
Ir1 0.0000 0.0000 0.6144
```

Results
DFT total energy   -4.575 eV per atom
ρ   10268 kg/m³



Number 4 is which compound?
TbPr3Sc